Compound: Ac6Bi2TePb3
Source: the Alexandria database
Functional: GGA-PBE
Structure: optimized geometry

As for the uncorrected formation energy: -813 meV/atom. The value obtained for the total magnetic moment is 0.00 μB/f.u. As for the crystal system: monoclinic. For the calculated density, the calculation gives 8.64 g/cm3.

The space group is C2/m (No. 12) and the conventional cell measures 21.400, 4.774 and 9.880 Å, with angles of 90.00, 105.62 and 90.00 degrees. The asymmetric unit holds Ac at (0.000, 0.000, 0.248), Ac at (0.167, 0.500, 0.083), Ac at (0.167, 0.500, 0.585), Bi at (0.166, 0.000, 0.832), Te at (0.000, 0.500, 0.500), Pb at (0.000, 0.500, 0.000) and Pb at (0.166, 0.000, 0.335).

***

Compound: Ho2ErAlAu4
Source: the Alexandria database
Functional: GGA-PBE
Structure: optimized geometry

The value obtained for the total magnetic moment is 0.00 μB/f.u. As for the crystal system: trigonal. Its total energy is -4.601 eV per atom. For the calculated density, the calculation gives 12.68 g/cm3.

The space group is R-3m (No. 166, hexagonal axes) and the conventional cell measures 4.9274, 4.9274 and 24.5154 Å, with angles of 90.00, 90.00 and 120.00 degrees. The asymmetric unit holds Ho at (0.0000, 0.0000, 0.2432), Er at (0.0000, 0.0000, 0.0000), Al at (0.0000, 0.0000, 0.5000), Au at (0.0000, 0.0000, 0.1217) and Au at (0.0000, 0.0000, 0.3720).